## LiAlMoO4 (GGA+U)

Data for a relaxed LiAlMoO4 crystal.

Values from the calculation:
- DOS(E_F) (states/eV per cell) = 0.0
- space-group type = Cmcm, No. 63
- final energy (eV/f.u.) = -48.15

Geometry as POSCAR:
```
LiAlMoO4
1.0
-1.276 0.080 4.969
0.604 -4.756 -1.828
6.188 0.176 1.586
O Li Al Mo
8 2 2 2
Direct
0.265 0.230 0.250
0.268 0.732 0.022
0.230 0.265 0.750
0.732 0.268 0.522
0.735 0.770 0.750
0.732 0.268 0.978
0.268 0.732 0.478
0.770 0.735 0.250
0.167 0.833 0.750
0.833 0.167 0.250
0.847 0.153 0.750
0.153 0.847 0.250
0.500 0.500 0.500
0.500 0.500 0.000
```